No. 1
A plane-wave DFT calculation with GGA-PBE was carried out for a relaxed Cd12In2Hg5 crystal.

POSCAR file:
```
Cd12In2Hg5
1.0
8.4599 -3.1159 0.0000
8.4599 3.1159 0.0000
-1.7889 0.0000 9.3289
Cd In Hg
12 2 5
direct
0.0208 0.0208 0.3434 Cd
0.0520 0.5359 0.8744 Cd
0.1072 0.5989 0.3822 Cd
0.4011 0.8928 0.6178 Cd
0.4063 0.4063 0.7238 Cd
0.4641 0.9480 0.1256 Cd
0.5359 0.0520 0.8744 Cd
0.5937 0.5937 0.2762 Cd
0.5989 0.1072 0.3822 Cd
0.8928 0.4011 0.6178 Cd
0.9480 0.4641 0.1256 Cd
0.9792 0.9792 0.6566 Cd
0.2532 0.7468 0.0000 In
0.7468 0.2532 0.0000 In
0.1301 0.1301 0.8761 Hg
0.2001 0.2001 0.3893 Hg
0.5000 0.5000 0.5000 Hg
0.7999 0.7999 0.6107 Hg
0.8699 0.8699 0.1239 Hg
```

Output
- Excess energy over the best structure of this formula in the dataset: 36.7 meV/atom
- Energy of formation: 6 kJ/mol of atoms
- Total DFT energy (no corrections): -16.798 eV/f.u.
- V: 491.8 Å³/cell
- Space-group type: C2/m

=====

No. 2
A plane-wave DFT calculation with GGA-PBE was carried out for a relaxed Cd3In7Hg2 crystal.

POSCAR file:
```
Cd3In7Hg2
1.0
5.6293 0.0000 0.0000
1.7879 5.9531 0.0000
0.7207 2.5278 9.3353
Cd In Hg
3 7 2
direct
0.0000 0.0000 0.0000 Cd
0.0176 0.5847 0.6564 Cd
0.9824 0.4153 0.3436 Cd
0.0000 0.5000 0.0000 In
0.4655 0.5694 0.1738 In
0.4750 0.0723 0.1613 In
0.4943 0.7544 0.4965 In
0.5057 0.2456 0.5035 In
0.5250 0.9277 0.8387 In
0.5345 0.4306 0.8262 In
0.0187 0.0807 0.6652 Hg
0.9813 0.9193 0.3348 Hg
```

Output
- Energy of formation: 3 kJ/mol of atoms
- Total DFT energy (no corrections): -22.168 eV/f.u.
- V: 312.8 Å³/cell
- Space-group type: P-1

=====

No. 3
A plane-wave DFT calculation with GGA-PBE was carried out for a relaxed Cd5InHg2 crystal.

POSCAR file:
```
Cd5InHg2
1.0
-1.7129 4.6823 6.0545
1.7129 -4.6823 6.0545
1.7129 4.6823 -6.0545
Cd In Hg
5 1 2
direct
0.0000 0.0000 0.0000 Cd
0.0969 0.3721 0.7248 Cd
0.3527 0.6279 0.7248 Cd
0.6473 0.3721 0.2752 Cd
0.9031 0.6279 0.2752 Cd
0.5000 0.0000 0.5000 In
0.2593 0.2593 0.0000 Hg
0.7407 0.7407 0.0000 Hg
```

Output
- Excess energy over the best structure of this formula in the dataset: 5.1 meV/atom
- Energy of formation: 3 kJ/mol of atoms
- Total DFT energy (no corrections): -7.693 eV/f.u.
- V: 194.2 Å³/cell
- Space-group type: Immm

=====

No. 4
A plane-wave DFT calculation with GGA-PBE was carried out for a relaxed Cd8InHg4 crystal.

POSCAR file:
```
Cd8InHg4
1.0
0.0000 5.6870 5.6870
5.6870 0.0000 5.6870
5.6870 5.6870 0.0000
Cd In Hg
8 1 4
direct
0.0949 0.0949 0.0949 Cd
0.0949 0.0949 0.7153 Cd
0.0949 0.7153 0.0949 Cd
0.1829 0.6057 0.6057 Cd
0.6057 0.1829 0.6057 Cd
0.6057 0.6057 0.1829 Cd
0.6057 0.6057 0.6057 Cd
0.7153 0.0949 0.0949 Cd
0.7500 0.7500 0.7500 In
0.3519 0.3519 0.3519 Hg
0.3519 0.3519 0.9442 Hg
0.3519 0.9442 0.3519 Hg
0.9442 0.3519 0.3519 Hg
```

Output
- Excess energy over the best structure of this formula in the dataset: 70.4 meV/atom
- Energy of formation: 12 kJ/mol of atoms
- Total DFT energy (no corrections): -9.716 eV/f.u.
- V: 367.8 Å³/cell
- Space-group type: F-43m